Record 1
# TbScIn2 PBE relaxed
# - DOS at the Fermi energy: 0.806 states/eV/atom
# - Calculated formation energy: -0.435 eV per atom
# - Magnetization: 0.56 μB per formula unit
# - Crystal system: tetragonal
# - Total DFT energy (no corrections): -4.5445 eV per atom
data_TbScIn2
_space_group_name_H-M_alt 'P 4/m m m'
_space_group_IT_number 123
_space_group_name_Hall '-P 4 2'
_cell_length_a 4.737
_cell_length_b 4.737
_cell_length_c 4.396
_cell_angle_alpha 90.00
_cell_angle_beta 90.00
_cell_angle_gamma 90.00
loop_
_atom_site_label
_atom_site_type_symbol
_atom_site_fract_x
_atom_site_fract_y
_atom_site_fract_z
Tb1 Tb 0.000 0.000 0.000
Sc1 Sc 0.500 0.500 0.000
In1 In 0.000 0.500 0.500


Record 2
# LaHgSb PBE relaxed
# - DOS at the Fermi energy: 0.009 states/eV/atom
# - Formation energy from raw total energies: -2.24 eV per formula unit
# - Magnetization: 0.00 μB per formula unit
# - Crystal system: trigonal
# - Total DFT energy (no corrections): -3.8624 eV per atom
data_LaHgSb
_space_group_name_H-M_alt 'P 3 m 1'
_space_group_IT_number 156
_cell_length_a 4.8052
_cell_length_b 4.8052
_cell_length_c 4.5343
_cell_angle_alpha 90.00
_cell_angle_beta 90.00
_cell_angle_gamma 120.00
loop_
_space_group_symop_operation_xyz
'x,y,z'
'-y,x-y,z'
'-x+y,-x,z'
'-y,-x,z'
'-x+y,y,z'
'x,x-y,z'
loop_
_atom_site_label
_atom_site_type_symbol
_atom_site_fract_x
_atom_site_fract_y
_atom_site_fract_z
La1 La 0.0000 0.0000 0.0000
Hg1 Hg 0.3333 0.6667 0.6793
Sb1 Sb 0.6667 0.3333 0.4151


Record 3
# Ca2TlAuO6 PBE relaxed
# - DOS at the Fermi energy: 0.763 states/eV/atom
# - Formation energy from raw total energies: -11.11 eV per formula unit
# - Magnetization: 0.00 μB per formula unit
# - Crystal system: tetragonal
# - Total DFT energy (no corrections): -5.0505 eV per atom
data_Ca2TlAuO6
_space_group_name_H-M_alt 'P 4 m m'
_space_group_IT_number 99
_cell_length_a 5.850
_cell_length_b 5.850
_cell_length_c 4.419
_cell_angle_alpha 90.00
_cell_angle_beta 90.00
_cell_angle_gamma 90.00
loop_
_space_group_symop_operation_xyz
'x,y,z'
'-y,x,z'
'-x,-y,z'
'y,-x,z'
'-x,y,z'
'y,x,z'
'x,-y,z'
'-y,-x,z'
loop_
_atom_site_label
_atom_site_type_symbol
_atom_site_fract_x
_atom_site_fract_y
_atom_site_fract_z
Ca1 Ca 0.000 0.500 0.000
Tl1 Tl 0.000 0.000 0.577
Au1 Au 0.500 0.500 0.655
O1 O 0.000 0.000 0.101
O2 O 0.260 0.260 0.724
O3 O 0.500 0.500 0.179